1.
First-principles (GGA-PBE) data for crystalline LiPrYEr at its relaxed geometry, as listed in the Alexandria database.

- Magnetization: 0.00 μB per formula unit
- Formation energy: 0.159 eV/atom
- DOS at the Fermi energy: 4.03 states/eV/f.u.
- Calculated volume: 30.17 A^3/atom
- E_tot: -4.27 eV per atom
- Crystal system: cubic

CIF file:
```
data_LiPrYEr
_space_group_name_H-M_alt 'F -4 3 m'
_space_group_IT_number 216
_space_group_name_Hall 'F -4 2 3'
_cell_length_a 7.845
_cell_length_b 7.845
_cell_length_c 7.845
_cell_angle_alpha 90.00
_cell_angle_beta 90.00
_cell_angle_gamma 90.00
loop_
_atom_site_label
_atom_site_type_symbol
_atom_site_fract_x
_atom_site_fract_y
_atom_site_fract_z
Li1 Li 0.000 0.000 0.000
Pr1 Pr 0.250 0.250 0.750
Y1 Y 0.250 0.250 0.250
Er1 Er 0.000 0.000 0.500
```


2.
First-principles (GGA-PBE) data for crystalline LiPrErZn at its relaxed geometry, as listed in the Alexandria database.

- Magnetization: 0.00 μB per formula unit
- Formation energy: -0.115 eV/atom
- DOS at the Fermi energy: 4.57 states/eV/f.u.
- Calculated volume: 25.15 A^3/atom
- E_tot: -3.25 eV per atom
- Crystal system: tetragonal

CIF file:
```
data_LiPrErZn
_space_group_name_H-M_alt 'P 4 m m'
_space_group_IT_number 99
_cell_length_a 3.673
_cell_length_b 3.673
_cell_length_c 7.455
_cell_angle_alpha 90.00
_cell_angle_beta 90.00
_cell_angle_gamma 90.00
loop_
_space_group_symop_operation_xyz
'x,y,z'
'-y,x,z'
'-x,-y,z'
'y,-x,z'
'-x,y,z'
'y,x,z'
'x,-y,z'
'-y,-x,z'
loop_
_atom_site_label
_atom_site_type_symbol
_atom_site_fract_x
_atom_site_fract_y
_atom_site_fract_z
Li1 Li 0.000 0.000 0.000
Pr1 Pr 0.500 0.500 0.717
Er1 Er 0.500 0.500 0.251
Zn1 Zn 0.000 0.000 0.464
```


3.
First-principles (GGA-PBE) data for crystalline LiPrErZn at its relaxed geometry, as listed in the Alexandria database.

- Magnetization: 0.00 μB per formula unit
- Formation energy: -0.106 eV/atom
- DOS at the Fermi energy: 5.31 states/eV/f.u.
- Calculated volume: 24.69 A^3/atom
- E_tot: -3.24 eV per atom
- Crystal system: cubic

CIF file:
```
data_LiPrErZn
_space_group_name_H-M_alt 'F -4 3 m'
_space_group_IT_number 216
_space_group_name_Hall 'F -4 2 3'
_cell_length_a 7.337
_cell_length_b 7.337
_cell_length_c 7.337
_cell_angle_alpha 90.00
_cell_angle_beta 90.00
_cell_angle_gamma 90.00
loop_
_atom_site_label
_atom_site_type_symbol
_atom_site_fract_x
_atom_site_fract_y
_atom_site_fract_z
Li1 Li 0.000 0.000 0.000
Pr1 Pr 0.250 0.250 0.250
Er1 Er 0.250 0.250 0.750
Zn1 Zn 0.000 0.000 0.500
```


4.
First-principles (GGA-PBE) data for crystalline LiEr2Pt3 at its relaxed geometry, as listed in the Alexandria database.

- Magnetization: 0.00 μB per formula unit
- Formation energy: -1.106 eV/atom
- DOS at the Fermi energy: 2.04 states/eV/f.u.
- Calculated volume: 18.99 A^3/atom
- E_tot: -5.97 eV per atom
- Crystal system: monoclinic

CIF file:
```
data_LiEr2Pt3
_space_group_name_H-M_alt 'C 1 2/m 1'
_space_group_IT_number 12
_cell_length_a 9.370
_cell_length_b 4.375
_cell_length_c 5.587
_cell_angle_alpha 90.00
_cell_angle_beta 95.57
_cell_angle_gamma 90.00
loop_
_space_group_symop_operation_xyz
'x,y,z'
'-x,-y,-z'
'-x,y,-z'
'x,-y,z'
'x+1/2,y+1/2,z'
'-x+1/2,-y+1/2,-z'
'-x+1/2,y+1/2,-z'
'x+1/2,-y+1/2,z'
loop_
_atom_site_label
_atom_site_type_symbol
_atom_site_fract_x
_atom_site_fract_y
_atom_site_fract_z
Li1 Li 0.000 0.000 0.000
Er1 Er 0.192 0.500 0.725
Pt1 Pt 0.000 0.000 0.500
Pt2 Pt 0.110 0.500 0.211
```


5.
First-principles (GGA-PBE) data for crystalline LiErPt4 at its relaxed geometry, as listed in the Alexandria database.

- Magnetization: 0.00 μB per formula unit
- Formation energy: -0.865 eV/atom
- DOS at the Fermi energy: 6.09 states/eV/f.u.
- Calculated volume: 17.91 A^3/atom
- E_tot: -5.97 eV per atom
- Crystal system: cubic

CIF file:
```
data_LiErPt4
_space_group_name_H-M_alt 'F -4 3 m'
_space_group_IT_number 216
_space_group_name_Hall 'F -4 2 3'
_cell_length_a 7.547
_cell_length_b 7.547
_cell_length_c 7.547
_cell_angle_alpha 90.00
_cell_angle_beta 90.00
_cell_angle_gamma 90.00
loop_
_atom_site_label
_atom_site_type_symbol
_atom_site_fract_x
_atom_site_fract_y
_atom_site_fract_z
Li1 Li 0.000 0.000 0.000
Er1 Er 0.250 0.250 0.750
Pt1 Pt 0.125 0.125 0.375
```


6.
First-principles (GGA-PBE) data for crystalline LiErPt at its relaxed geometry, as listed in the Alexandria database.

- Magnetization: 0.00 μB per formula unit
- Formation energy: -0.904 eV/atom
- DOS at the Fermi energy: 1.46 states/eV/f.u.
- Calculated volume: 19.39 A^3/atom
- E_tot: -5.08 eV per atom
- Crystal system: hexagonal

CIF file:
```
data_LiErPt
_space_group_name_H-M_alt 'P -6 2 m'
_space_group_IT_number 189
_space_group_name_Hall 'P -6 -2'
_cell_length_a 7.1130
_cell_length_b 7.1130
_cell_length_c 3.9835
_cell_angle_alpha 90.00
_cell_angle_beta 90.00
_cell_angle_gamma 120.00
loop_
_atom_site_label
_atom_site_type_symbol
_atom_site_fract_x
_atom_site_fract_y
_atom_site_fract_z
Li1 Li 0.0000 0.7621 0.0000
Er1 Er 0.0000 0.4059 0.5000
Pt1 Pt 0.0000 0.0000 0.5000
Pt2 Pt 0.3333 0.6667 0.0000
```